A relaxed structure of BaSr2Tm6O12. Source: Alexandria via LeMat-Bulk, functional PBE-GGA.

- Energy relative to the elements, uncorrected: -70.8 eV/f.u.
- Electronic total energy: -7.7348 eV per atom

Cell: 10.2517 10.2517 3.4038 Å, 90.00 90.00 120.00°
Last column: nearest neighbours and their distance in Å.
Space group P-6 (No. 174)
Inequivalent atoms, fractional coordinates:
1 Ba 0.0000 0.0000 0.0000 (multiplicity 1)  9 O 2.81-3.07
2 Sr 0.3333 0.6667 0.0000 (multiplicity 1)  6 O 2.58
3 Sr 0.6667 0.3333 0.5000 (multiplicity 1)  6 O 2.54
4 Tm 0.9998 0.3483 0.0000 (multiplicity 3)  6 O 2.22-2.31
5 Tm 0.0012 0.6535 0.5000 (multiplicity 3)  6 O 2.20-2.34
6 O 0.1169 0.8039 0.0000 (multiplicity 3)  3 Tm 2.20-2.22
7 O 0.1208 0.5189 0.5000 (multiplicity 3)  3 Tm 2.26-2.31
8 O 0.2844 0.1034 0.5000 (multiplicity 3)  3 Tm 2.25-2.27
9 O 0.5213 0.3954 0.0000 (multiplicity 3)  3 Tm 2.27-2.34, 2 Sr 2.54

=====

A relaxed structure of Ba3SrU2O9. Source: Alexandria via LeMat-Bulk, functional PBE-GGA.

- Energy relative to the elements, uncorrected: -46.1 eV/f.u.
- Electronic total energy: -8.0506 eV per atom

Cell: 6.3388 6.3388 7.7535 Å, 90.00 90.00 120.00°
Last column: nearest neighbours and their distance in Å.
Space group P-3m1 (No. 164)
Inequivalent atoms, fractional coordinates:
1 Ba 0.0000 0.0000 0.0000 (multiplicity 1)  12 O 3.15-3.17
2 Ba 0.3333 0.6667 0.6505 (multiplicity 2)  12 O 3.08-3.27
3 Sr 0.0000 0.0000 0.5000 (multiplicity 1)  6 O 2.41
4 U 0.3333 0.6667 0.1621 (multiplicity 2)  6 O 2.09-2.22
5 O 0.0000 0.5000 0.0000 (multiplicity 3)  2 U 2.22
6 O 0.1783 0.3566 0.3188 (multiplicity 6)  1 U 2.09

=====

A relaxed structure of Ba2SrUO5. Source: Alexandria via LeMat-Bulk, functional PBE-GGA.

- Energy relative to the elements, uncorrected: -25.0 eV/f.u.
- Electronic total energy: -7.3969 eV per atom

Cell: 4.3733 4.3733 9.3385 Å, 90.00 90.00 90.00°
Last column: nearest neighbours and their distance in Å.
Space group P4/mmm (No. 123)
Inequivalent atoms, fractional coordinates:
1 Ba 0.0000 0.0000 0.2275 (multiplicity 2)  1 O 2.55
2 Sr 0.5000 0.5000 0.5000 (multiplicity 1)  2 O 2.45
3 U 0.5000 0.5000 0.0000 (multiplicity 1)  6 O 2.19-2.22
4 O 0.0000 0.0000 0.5000 (multiplicity 1)  2 Ba 2.55
5 O 0.0000 0.5000 0.0000 (multiplicity 2)  2 U 2.19
6 O 0.5000 0.5000 0.2377 (multiplicity 2)  1 U 2.22, 1 Sr 2.45

=====

What did the first record say?
A relaxed structure of BaSr2Tm6O12. Source: Alexandria via LeMat-Bulk, functional PBE-GGA.

- Energy relative to the elements, uncorrected: -70.8 eV/f.u.
- Electronic total energy: -7.7348 eV per atom

Cell: 10.2517 10.2517 3.4038 Å, 90.00 90.00 120.00°
Last column: nearest neighbours and their distance in Å.
Space group P-6 (No. 174)
Inequivalent atoms, fractional coordinates:
1 Ba 0.0000 0.0000 0.0000 (multiplicity 1)  9 O 2.81-3.07
2 Sr 0.3333 0.6667 0.0000 (multiplicity 1)  6 O 2.58
3 Sr 0.6667 0.3333 0.5000 (multiplicity 1)  6 O 2.54
4 Tm 0.9998 0.3483 0.0000 (multiplicity 3)  6 O 2.22-2.31
5 Tm 0.0012 0.6535 0.5000 (multiplicity 3)  6 O 2.20-2.34
6 O 0.1169 0.8039 0.0000 (multiplicity 3)  3 Tm 2.20-2.22
7 O 0.1208 0.5189 0.5000 (multiplicity 3)  3 Tm 2.26-2.31
8 O 0.2844 0.1034 0.5000 (multiplicity 3)  3 Tm 2.25-2.27
9 O 0.5213 0.3954 0.0000 (multiplicity 3)  3 Tm 2.27-2.34, 2 Sr 2.54